# 1
Computed, not measured: crystalline PmAlHgAu at its relaxed geometry at the PBE level of DFT.

It has space group F-43m (No. 216), with a = 7.0751 Å, b = 7.0751 Å, c = 7.0751 Å, α = 90.00°, β = 90.00° and γ = 90.00°. The distinct sites, in fractional coordinates, are Pm at (0.0000, 0.0000, 0.0000), Al at (0.0000, 0.0000, 0.5000), Hg at (0.2500, 0.2500, 0.7500) and Au at (0.2500, 0.2500, 0.2500).

The value obtained for the formation energy from the elements is -0.491 eV/atom. The theoretical density is 10.681 Mg/m³. As for the raw total energy: -3.509 eV/atom.

---

# 2
Computed, not measured: crystalline Pr2Al4Hg3Au at its relaxed geometry at the PBE level of DFT.

It has space group P-4m2 (No. 115), with a = 4.4750 Å, b = 4.4750 Å, c = 11.0572 Å, α = 90.00°, β = 90.00° and γ = 90.00°. The distinct sites, in fractional coordinates, are Pr at (0.0000, 0.5000, 0.2440), Al at (0.0000, 0.0000, 0.5000), Al at (0.0000, 0.5000, 0.8726), Al at (0.5000, 0.5000, 0.5000), Hg at (0.0000, 0.0000, 0.0000), Hg at (0.0000, 0.5000, 0.6391) and Au at (0.5000, 0.5000, 0.0000).

The value obtained for the formation energy from the elements is -0.424 eV/atom. The theoretical density is 8.913 Mg/m³. As for the raw total energy: -3.295 eV/atom.

---

# 3
Computed, not measured: crystalline Pu2Al4HgAu3 at its relaxed geometry at the PBE level of DFT.

It has space group P-4m2 (No. 115), with a = 4.3927 Å, b = 4.3927 Å, c = 10.7183 Å, α = 90.00°, β = 90.00° and γ = 90.00°. The distinct sites, in fractional coordinates, are Pu at (0.0000, 0.5000, 0.2477), Al at (0.0000, 0.0000, 0.0000), Al at (0.0000, 0.5000, 0.6413), Al at (0.5000, 0.5000, 0.0000), Hg at (0.0000, 0.0000, 0.5000), Au at (0.0000, 0.5000, 0.8725) and Au at (0.5000, 0.5000, 0.5000).

The value obtained for the formation energy from the elements is -0.410 eV/atom. The theoretical density is 11.139 Mg/m³. As for the raw total energy: -5.787 eV/atom.

---

# 4
Computed, not measured: crystalline RbAlHgAu2 at its relaxed geometry at the PBE level of DFT.

It has space group P4/mmm (No. 123), with a = 5.1113 Å, b = 5.1113 Å, c = 5.4571 Å, α = 90.00°, β = 90.00° and γ = 90.00°. The distinct sites, in fractional coordinates, are Rb at (0.0000, 0.0000, 0.0000), Al at (0.5000, 0.5000, 0.5000), Hg at (0.5000, 0.5000, 0.0000) and Au at (0.0000, 0.5000, 0.5000).

The value obtained for the formation energy from the elements is -0.199 eV/atom. The theoretical density is 8.234 Mg/m³. As for the raw total energy: -2.512 eV/atom.

---

# 5
Computed, not measured: crystalline RbAlHg2Au at its relaxed geometry at the PBE level of DFT.

It has space group P4/mmm (No. 123), with a = 5.4147 Å, b = 5.4147 Å, c = 5.1535 Å, α = 90.00°, β = 90.00° and γ = 90.00°. The distinct sites, in fractional coordinates, are Rb at (0.0000, 0.0000, 0.0000), Al at (0.5000, 0.5000, 0.5000), Hg at (0.0000, 0.5000, 0.5000) and Au at (0.5000, 0.5000, 0.0000).

The value obtained for the formation energy from the elements is -0.165 eV/atom. The theoretical density is 7.809 Mg/m³. As for the raw total energy: -1.884 eV/atom.

---

# 6
Computed, not measured: crystalline Al2HgRhAu at its relaxed geometry at the PBE level of DFT.

It has space group P4/mmm (No. 123), with a = 4.6967 Å, b = 4.6967 Å, c = 5.2562 Å, α = 90.00°, β = 90.00° and γ = 90.00°. The distinct sites, in fractional coordinates, are Al at (0.0000, 0.5000, 0.0000), Hg at (0.0000, 0.0000, 0.5000), Rh at (0.5000, 0.5000, 0.5000) and Au at (0.5000, 0.5000, 0.0000).

The value obtained for the formation energy from the elements is 0.527 eV/atom. The theoretical density is 7.940 Mg/m³. As for the raw total energy: -3.157 eV/atom.

---

# 7
Computed, not measured: crystalline AlHgRh2Au at its relaxed geometry at the PBE level of DFT.

It has space group P4/mmm (No. 123), with a = 4.9722 Å, b = 4.9722 Å, c = 4.7046 Å, α = 90.00°, β = 90.00° and γ = 90.00°. The distinct sites, in fractional coordinates, are Al at (0.0000, 0.0000, 0.0000), Hg at (0.0000, 0.0000, 0.5000), Rh at (0.0000, 0.5000, 0.5000) and Au at (0.5000, 0.5000, 0.0000).

The value obtained for the formation energy from the elements is 1.294 eV/atom. The theoretical density is 8.999 Mg/m³. As for the raw total energy: -3.111 eV/atom.

---

# 8
Computed, not measured: crystalline AlHg2AuSe4 at its relaxed geometry at the PBE level of DFT.

It has space group Fmm2 (No. 42), with a = 8.6004 Å, b = 8.6014 Å, c = 12.0125 Å, α = 90.00°, β = 90.00° and γ = 90.00°. The distinct sites, in fractional coordinates, are Al at (0.0000, 0.0000, 0.0000), Hg at (0.2500, 0.2500, 0.2503), Au at (0.0000, 0.0000, 0.5010), Se at (0.0000, 0.2357, 0.1131) and Se at (0.2361, 0.0000, 0.8875).

The uncorrected formation energy comes out at -0.348 eV per atom. The theoretical density is 7.033 Mg/m³. As for the raw total energy: -3.043 eV/atom.

---

# 9
Computed, not measured: crystalline Sm2Al3HgAu4 at its relaxed geometry at the PBE level of DFT.

It has space group P-4m2 (No. 115), with a = 4.4040 Å, b = 4.4040 Å, c = 10.9207 Å, α = 90.00°, β = 90.00° and γ = 90.00°. The distinct sites, in fractional coordinates, are Sm at (0.0000, 0.5000, 0.2451), Al at (0.0000, 0.5000, 0.8771), Al at (0.5000, 0.5000, 0.5000), Hg at (0.0000, 0.0000, 0.5000), Au at (0.0000, 0.0000, 0.0000), Au at (0.0000, 0.5000, 0.6527) and Au at (0.5000, 0.5000, 0.0000).

The value obtained for the formation energy from the elements is -0.605 eV/atom. The theoretical density is 10.741 Mg/m³. As for the raw total energy: -4.012 eV/atom.

---

# 10
Computed, not measured: crystalline SrAlHgAu3 at its relaxed geometry at the PBE level of DFT.

It has space group Cmcm (No. 63), with a = 6.6592 Å, b = 16.2175 Å, c = 5.9154 Å, α = 90.00°, β = 90.00° and γ = 90.00°. The distinct sites, in fractional coordinates, are Sr at (0.0000, 0.2264, 0.2500), Al at (0.0000, 0.4536, 0.7500), Hg at (0.0000, 0.1306, 0.7500), Au at (0.0000, 0.3010, 0.7500) and Au at (0.2123, 0.0000, 0.0000).

The value obtained for the formation energy from the elements is -0.349 eV/atom. The theoretical density is 9.421 Mg/m³. As for the raw total energy: -2.942 eV/atom.

---

# 11
Computed, not measured: crystalline Sr2Al4Hg3Au at its relaxed geometry at the PBE level of DFT.

It has space group P-4m2 (No. 115), with a = 4.5302 Å, b = 4.5302 Å, c = 11.4340 Å, α = 90.00°, β = 90.00° and γ = 90.00°. The distinct sites, in fractional coordinates, are Sr at (0.0000, 0.5000, 0.2431), Al at (0.0000, 0.0000, 0.5000), Al at (0.0000, 0.5000, 0.8753), Al at (0.5000, 0.5000, 0.5000), Hg at (0.0000, 0.0000, 0.0000), Hg at (0.0000, 0.5000, 0.6407) and Au at (0.5000, 0.5000, 0.0000).

The value obtained for the formation energy from the elements is -0.347 eV/atom. The theoretical density is 7.656 Mg/m³. As for the raw total energy: -2.598 eV/atom.

---

# 12
Computed, not measured: crystalline Th2Al3HgAu4 at its relaxed geometry at the PBE level of DFT.

It has space group P-4m2 (No. 115), with a = 4.3811 Å, b = 4.3811 Å, c = 11.0770 Å, α = 90.00°, β = 90.00° and γ = 90.00°. The distinct sites, in fractional coordinates, are Th at (0.0000, 0.5000, 0.2413), Al at (0.0000, 0.5000, 0.8760), Al at (0.5000, 0.5000, 0.5000), Hg at (0.0000, 0.0000, 0.5000), Au at (0.0000, 0.0000, 0.0000), Au at (0.0000, 0.5000, 0.6540) and Au at (0.5000, 0.5000, 0.0000).

The value obtained for the formation energy from the elements is -0.560 eV/atom. The theoretical density is 11.976 Mg/m³. As for the raw total energy: -4.508 eV/atom.